[1]
SrPm2Tl3S6 | PBE | relaxed

Properties
V = 27.91 Å³/atom
E_form (uncorrected) = -127.9 kJ/mol of atoms
DFT total energy = -4.9132 eV/atom
Spin magnetization = 0.0 μB per cell
Crystal system = monoclinic

```
data_SrPm2Tl3S6
_chemical_formula_sum 'Sr2 Pm4 Tl6 S12'
_cell_length_a 7.317
_cell_length_b 12.660
_cell_length_c 7.632
_cell_angle_alpha 90.00
_cell_angle_beta 108.62
_cell_angle_gamma 90.00
_space_group_name_H-M_alt 'C 1 2/m 1'
_space_group_IT_number 12
loop_
_space_group_symop_operation_xyz
'x,y,z'
'-x,-y,-z'
'-x,y,-z'
'x,-y,z'
'x+1/2,y+1/2,z'
'-x+1/2,-y+1/2,-z'
'-x+1/2,y+1/2,-z'
'x+1/2,-y+1/2,z'
loop_
_atom_site_label
_atom_site_type_symbol
_atom_site_fract_x
_atom_site_fract_y
_atom_site_fract_z
Sr1 Sr 0.000 0.000 0.000
Pm1 Pm 0.000 0.333 0.000
Tl1 Tl 0.000 0.164 0.500
Tl2 Tl 0.000 0.500 0.500
S1 S 0.219 0.500 0.210
S2 S 0.247 0.175 0.215
```

[2]
Sr2PmTmS4 | PBE | relaxed

Properties
V = 24.22 Å³/atom
E_form (uncorrected) = -195.5 kJ/mol of atoms
DFT total energy = -5.6633 eV/atom
Spin magnetization = 0.0 μB per cell
Crystal system = monoclinic

```
data_Sr2PmTmS4
_chemical_formula_sum 'Sr2 Pm1 Tm1 S4'
_cell_length_a 7.033
_cell_length_b 4.055
_cell_length_c 7.184
_cell_angle_alpha 90.00
_cell_angle_beta 108.97
_cell_angle_gamma 90.00
_space_group_name_H-M_alt 'P 1 2/m 1'
_space_group_IT_number 10
loop_
_space_group_symop_operation_xyz
'x,y,z'
'-x,-y,-z'
'-x,y,-z'
'x,-y,z'
loop_
_atom_site_label
_atom_site_type_symbol
_atom_site_fract_x
_atom_site_fract_y
_atom_site_fract_z
Sr1 Sr 0.000 0.000 0.000
Sr2 Sr 0.500 0.500 0.000
Pm1 Pm 0.000 0.500 0.500
Tm1 Tm 0.500 0.000 0.500
S1 S 0.254 0.000 0.734
S2 S 0.266 0.500 0.272
```

[3]
Sr2PmUS6 | PBE | relaxed

Properties
V = 26.85 Å³/atom
E_form (uncorrected) = -176.8 kJ/mol of atoms
DFT total energy = -6.2489 eV/atom
Spin magnetization = 2.0 μB per cell
Crystal system = monoclinic

```
data_Sr2PmUS6
_chemical_formula_sum 'Sr4 Pm2 U2 S12'
_cell_length_a 7.007
_cell_length_b 7.500
_cell_length_c 12.374
_cell_angle_alpha 90.00
_cell_angle_beta 124.33
_cell_angle_gamma 90.00
_space_group_name_H-M_alt 'P 1 21/c 1'
_space_group_IT_number 14
loop_
_space_group_symop_operation_xyz
'x,y,z'
'-x,-y,-z'
'-x,y+1/2,-z+1/2'
'x,-y+1/2,z+1/2'
loop_
_atom_site_label
_atom_site_type_symbol
_atom_site_fract_x
_atom_site_fract_y
_atom_site_fract_z
Sr1 Sr 0.223 0.080 0.250
Pm1 Pm 0.500 0.000 0.000
U1 U 0.000 0.000 0.500
S1 S 0.115 0.204 0.935
S2 S 0.240 0.687 0.939
S3 S 0.360 0.041 0.741
```

Question: What is the formula in the first record?
Answer: SrPm2Tl3S6